[1]
Here is Y3Ag4Pb4 after structural relaxation from OQMD. Energies are from GGA-PBE.

Calculated values
Total DFT energy (no corrections) (Ry/atom): -0.3253

Unit cell a=8.979 b=8.979 c=8.979 alpha=149.82 beta=130.71 gamma=58.89
Element x y z (fractional)
1 Ag 0.872 0.673 0.199
2 Pb 0.286 0.786 0.500
3 Ag 0.527 0.327 0.199
4 Y 0.128 0.128 0.000
5 Ag 0.473 0.673 0.801
6 Pb 0.714 0.214 0.500
7 Ag 0.128 0.327 0.801
8 Y 0.500 0.000 0.500
9 Pb 0.797 0.500 0.297
10 Pb 0.203 0.500 0.703
11 Y 0.872 0.872 0.000

=====

[2]
Here is Y2Ag2Pb after structural relaxation from OQMD. Energies are from GGA-PBE.

Calculated values
Total DFT energy (no corrections) (Ry/atom): -0.3302

Unit cell a=6.716 b=6.716 c=6.716 alpha=137.42 beta=137.42 gamma=61.79
Element x y z (fractional)
1 Y 0.250 0.750 0.500
2 Ag 0.612 0.612 0.000
3 Y 0.750 0.250 0.500
4 Pb 0.000 0.000 0.000
5 Ag 0.388 0.388 0.000

=====

[3]
Here is YAg2Pb after structural relaxation from OQMD. Energies are from GGA-PBE.

Calculated values
Total DFT energy (no corrections) (Ry/atom): -0.3075

Unit cell a=5.023 b=5.023 c=5.023 alpha=60.00 beta=60.00 gamma=60.00
Element x y z (fractional)
1 Y 0.250 0.250 0.250
2 Pb 0.500 0.500 0.500
3 Ag 0.000 0.000 0.000
4 Ag 0.750 0.750 0.750

=====

[4]
Here is YAgPb after structural relaxation from OQMD. Energies are from GGA-PBE.

Calculated values
Total DFT energy (no corrections) (Ry/atom): -0.3486

Unit cell a=7.600 b=7.600 c=4.489 alpha=90.00 beta=90.00 gamma=120.00
Element x y z (fractional)
1 Ag 0.000 0.251 0.000
2 Ag 0.251 0.000 0.000
3 Y 0.000 0.579 0.500
4 Pb 0.667 0.333 0.000
5 Y 0.421 0.421 0.500
6 Pb 0.333 0.667 0.000
7 Pb 0.000 0.000 0.500
8 Ag 0.749 0.749 0.000
9 Y 0.579 0.000 0.500

=====

[5]
Here is YAgPb after structural relaxation from OQMD. Energies are from GGA-PBE.

Calculated values
Total DFT energy (no corrections) (Ry/atom): -0.3430

Unit cell a=7.818 b=7.818 c=4.251 alpha=90.00 beta=90.00 gamma=120.00
Element x y z (fractional)
1 Y 0.605 0.000 0.500
2 Ag 0.667 0.333 0.000
3 Pb 0.733 0.733 0.000
4 Y 0.395 0.395 0.500
5 Pb 0.267 0.000 0.000
6 Y 0.000 0.605 0.500
7 Ag 0.000 0.000 0.500
8 Pb 0.000 0.267 0.000
9 Ag 0.333 0.667 0.000

=====

[6]
Here is ZnAg2Pb after structural relaxation from OQMD. Energies are from GGA-PBE.

Calculated values
Total DFT energy (no corrections) (Ry/atom): -0.1841

Unit cell a=4.899 b=4.899 c=4.899 alpha=60.00 beta=60.00 gamma=60.00
Element x y z (fractional)
1 Ag 0.000 0.000 0.000
2 Ag 0.750 0.750 0.750
3 Zn 0.250 0.250 0.250
4 Pb 0.500 0.500 0.500

=====

[7]
Here is Zr3Ag4Pb4 after structural relaxation from OQMD. Energies are from GGA-PBE.

Calculated values
Total DFT energy (no corrections) (Ry/atom): -0.3432
E above lowest polymorph (meV/atom): 0

Unit cell a=6.772 b=4.649 c=8.276 alpha=90.00 beta=91.51 gamma=90.00
Element x y z (fractional)
1 Ag 0.252 0.250 0.405
2 Pb 0.224 0.750 0.600
3 Zr 0.002 0.750 0.251
4 Pb 0.761 0.250 0.397
5 Pb 0.805 0.750 0.918
6 Zr 0.516 0.250 0.715
7 Ag 0.770 0.750 0.586
8 Ag 0.629 0.250 0.065
9 Pb 0.183 0.250 0.055
10 Ag 0.367 0.750 0.929
11 Zr 0.488 0.750 0.275

=====

[8]
Here is Zr3AgPb5 after structural relaxation from OQMD. Energies are from GGA-PBE.

Calculated values
Total DFT energy (no corrections) (Ry/atom): -0.3674

Unit cell a=6.089 b=6.089 c=8.103 alpha=90.00 beta=90.00 gamma=120.00
Element x y z (fractional)
1 Ag 0.000 0.000 0.000
2 Pb 0.333 0.667 0.182
3 Pb 0.667 0.333 0.818
4 Zr 0.500 0.000 0.500
5 Zr 0.500 0.500 0.500
6 Zr 0.000 0.500 0.500
7 Pb 0.000 0.000 0.500
8 Pb 0.333 0.667 0.818
9 Pb 0.667 0.333 0.182

=====

[9]
Here is Zr2AgPb2 after structural relaxation from OQMD. Energies are from GGA-PBE.

Calculated values
Total DFT energy (no corrections) (Ry/atom): -0.3670

Unit cell a=7.442 b=7.442 c=7.442 alpha=144.80 beta=144.80 gamma=50.63
Element x y z (fractional)
1 Pb 0.395 0.395 0.000
2 Zr 0.250 0.750 0.500
3 Ag 0.000 0.000 0.000
4 Zr 0.750 0.250 0.500
5 Pb 0.605 0.605 0.000

=====

[10]
Here is Zr3Ag4Pb4 after structural relaxation from OQMD. Energies are from GGA-PBE.

Calculated values
Total DFT energy (no corrections) (Ry/atom): -0.3382
E above lowest polymorph (meV/atom): 68

Unit cell a=6.533 b=6.533 c=8.051 alpha=66.06 beta=66.06 gamma=90.00
Element x y z (fractional)
1 Pb 0.248 0.248 0.503
2 Ag 0.631 0.124 0.245
3 Pb 0.752 0.752 0.497
4 Pb 0.500 0.000 0.000
5 Ag 0.124 0.631 0.245
6 Zr 0.250 0.750 0.500
7 Ag 0.369 0.369 0.755
8 Ag 0.876 0.876 0.755
9 Pb 0.000 0.500 0.000
10 Zr 0.750 0.250 0.500
11 Zr 0.500 0.500 0.000

=====

[11]
Here is Zr3Ag2Pb2 after structural relaxation from OQMD. Energies are from GGA-PBE.

Calculated values
Total DFT energy (no corrections) (Ry/atom): -0.4033

Unit cell a=8.504 b=8.504 c=8.504 alpha=33.45 beta=33.45 gamma=33.45
Element x y z (fractional)
1 Pb 0.495 0.495 0.495
2 Zr 0.373 0.373 0.373
3 Zr 0.624 0.624 0.624
4 Ag 0.241 0.241 0.241
5 Ag 0.757 0.757 0.757
6 Pb 0.007 0.007 0.007
7 Zr 0.878 0.878 0.878

=====

[12]
Here is Ag3Pd after structural relaxation from OQMD. Energies are from GGA-PBE.

Calculated values
Total DFT energy (no corrections) (Ry/atom): -0.2544
Formation energy from the elements (eV per atom): -0.05

Unit cell a=4.728 b=5.794 c=4.946 alpha=90.00 beta=90.00 gamma=90.00
Element x y z (fractional)
1 Ag 0.500 0.250 0.829
2 Pd 0.000 0.000 0.671
3 Ag 0.000 0.750 0.171
4 Ag 0.500 0.000 0.334
5 Ag 0.000 0.500 0.666
6 Pd 0.500 0.500 0.329
7 Ag 0.500 0.750 0.829
8 Ag 0.000 0.250 0.171

=====

[13]
Here is Ag2Pd3 after structural relaxation from OQMD. Energies are from GGA-PBE.

Calculated values
Total DFT energy (no corrections) (Ry/atom): -0.2837
Formation energy from the elements (eV per atom): 0.38

Unit cell a=6.041 b=6.041 c=6.041 alpha=67.80 beta=67.80 gamma=67.80
Element x y z (fractional)
1 Pd 0.988 0.750 0.512
2 Pd 0.012 0.250 0.488
3 Ag 0.407 0.407 0.407
4 Ag 0.593 0.593 0.593
5 Pd 0.512 0.988 0.750
6 Pd 0.250 0.488 0.012
7 Pd 0.750 0.512 0.988
8 Pd 0.488 0.012 0.250
9 Ag 0.907 0.907 0.907
10 Ag 0.093 0.093 0.093

=====

[14]
Here is Ag2Pd after structural relaxation from OQMD. Energies are from GGA-PBE.

Calculated values
Total DFT energy (no corrections) (Ry/atom): -0.2508
Formation energy from the elements (eV per atom): 0.20

Unit cell a=5.304 b=5.304 c=5.304 alpha=60.00 beta=60.00 gamma=60.00
Element x y z (fractional)
1 Ag 0.125 0.625 0.625
2 Pd 0.250 0.250 0.250
3 Pd 0.000 0.000 0.000
4 Ag 0.625 0.625 0.625
5 Ag 0.625 0.125 0.625
6 Ag 0.625 0.625 0.125

=====

[15]
Here is PmAgPd after structural relaxation from OQMD. Energies are from GGA-PBE.

Calculated values
Total DFT energy (no corrections) (Ry/atom): -0.3456
E above lowest polymorph (meV/atom): 0
Formation energy from the elements (eV per atom): -0.45

Unit cell a=4.699 b=4.699 c=4.699 alpha=60.00 beta=60.00 gamma=60.00
Element x y z (fractional)
1 Pm 0.750 0.750 0.750
2 Ag 0.250 0.250 0.250
3 Pd 0.000 0.000 0.000

=====

[16]
Here is Pm2AgPd2 after structural relaxation from OQMD. Energies are from GGA-PBE.

Calculated values
Total DFT energy (no corrections) (Ry/atom): -0.3846
Formation energy from the elements (eV per atom): -0.70

Unit cell a=7.739 b=7.739 c=3.834 alpha=90.00 beta=90.00 gamma=90.00
Element x y z (fractional)
1 Pm 0.673 0.827 0.500
2 Pd 0.871 0.629 0.000
3 Pd 0.371 0.871 0.000
4 Pm 0.327 0.173 0.500
5 Pd 0.629 0.129 0.000
6 Pm 0.827 0.327 0.500
7 Ag 0.500 0.500 0.000
8 Pd 0.129 0.371 0.000
9 Pm 0.173 0.673 0.500
10 Ag 0.000 0.000 0.000

=====

[17]
Here is PmAgPd after structural relaxation from OQMD. Energies are from GGA-PBE.

Calculated values
Total DFT energy (no corrections) (Ry/atom): -0.3161
E above lowest polymorph (meV/atom): 402
Formation energy from the elements (eV per atom): -0.05

Unit cell a=4.799 b=4.799 c=4.799 alpha=60.00 beta=60.00 gamma=60.00
Element x y z (fractional)
1 Pm 0.000 0.000 0.000
2 Ag 0.250 0.250 0.250
3 Pd 0.750 0.750 0.750

=====

[18]
Here is Pr2AgSb4Pd after structural relaxation from OQMD. Energies are from GGA-PBE.

Calculated values
Total DFT energy (no corrections) (Ry/atom): -0.3683

Unit cell a=4.451 b=4.451 c=10.267 alpha=90.00 beta=90.00 gamma=90.00
Element x y z (fractional)
1 Sb 0.000 0.500 0.834
2 Ag 0.000 0.000 0.000
3 Sb 0.500 0.000 0.166
4 Pr 0.500 0.000 0.747
5 Pd 0.500 0.500 0.000
6 Sb 0.500 0.500 0.500
7 Pr 0.000 0.500 0.253
8 Sb 0.000 0.000 0.500

=====

[19]
Here is PrSi2AgPd after structural relaxation from OQMD. Energies are from GGA-PBE.

Calculated values
Total DFT energy (no corrections) (Ry/atom): -0.3974

Unit cell a=5.982 b=5.982 c=5.982 alpha=138.53 beta=138.53 gamma=60.09
Element x y z (fractional)
1 Pd 0.000 0.000 0.000
2 Si 0.863 0.363 0.500
3 Ag 0.500 0.500 0.000
4 Pr 0.250 0.750 0.500
5 Si 0.637 0.137 0.500

=====

[20]
Here is PrAgSn2Pd after structural relaxation from OQMD. Energies are from GGA-PBE.

Calculated values
Total DFT energy (no corrections) (Ry/atom): -0.3505

Unit cell a=4.549 b=4.549 c=11.209 alpha=90.00 beta=90.00 gamma=90.00
Element x y z (fractional)
1 Sn 0.000 0.000 0.500
2 Sn 0.000 0.500 0.857
3 Ag 0.000 0.000 0.000
4 Sn 0.500 0.000 0.143
5 Pd 0.500 0.000 0.374
6 Ag 0.500 0.500 0.000
7 Pr 0.500 0.000 0.749
8 Pr 0.000 0.500 0.251
9 Pd 0.000 0.500 0.626
10 Sn 0.500 0.500 0.500